Entry from Alexandria via LeMat-Bulk: a relaxed structure of Dy5Er8Cd (PBE).

Lattice parameters (Å, degrees): 8.3186 8.3186 8.3186 110.53 107.38 110.53
Fractional coordinates of all 14 atoms:
Er1 0.0820 0.7424 0.4762
Er2 0.6604 0.3941 0.9180
Er3 0.5238 0.6059 0.2663
Er4 0.9315 0.0983 0.6577
Er5 0.7337 0.2576 0.3396
Er6 0.5594 0.9017 0.8332
Er7 0.1668 0.7262 0.0685
Er8 0.3423 0.2738 0.4406
Dy1 0.0218 0.3103 0.1277
Dy2 0.5000 0.0000 0.5000
Dy3 0.8174 0.6897 0.7115
Dy4 0.2885 0.1060 0.9782
Dy5 0.8723 0.8940 0.1826
Cd1 0.2500 0.5000 0.7500


Entry from Alexandria via LeMat-Bulk: a relaxed structure of Dy2Er3Cd2 (PBE).

Summary:
The energy above the lowest structure with this stoichiometry comes out at 72 kJ/mol of formula units.

Lattice parameters (Å, degrees): 5.0573 3.4360 11.5671 90.00 77.37 90.00
Fractional coordinates of all 7 atoms:
Er1 0.1466 0.0000 0.7068
Er2 0.0000 0.0000 0.0000
Er3 0.8534 0.0000 0.2932
Dy1 0.2895 0.5000 0.4209
Dy2 0.7105 0.5000 0.5791
Cd1 0.4314 0.5000 0.1373
Cd2 0.5686 0.5000 0.8627


Entry from Alexandria via LeMat-Bulk: a relaxed structure of DyEr7Cd4 (PBE).

Lattice parameters (Å, degrees): 5.6611 8.9445 7.8190 69.92 68.78 71.55
Fractional coordinates of all 12 atoms:
Cd1 0.6812 0.6590 0.9786
Cd2 0.4578 0.7112 0.3732
Cd3 0.3188 0.3410 0.0214
Cd4 0.5422 0.2888 0.6268
Er1 0.7937 0.8808 0.5318
Er2 0.7392 0.3049 0.2166
Er3 0.2608 0.6951 0.7834
Er4 0.2063 0.1192 0.4682
Er5 0.5000 0.0000 0.0000
Er6 0.0722 0.5855 0.2701
Er7 0.9278 0.4145 0.7299
Dy1 0.0000 0.0000 0.0000


Entry from Alexandria via LeMat-Bulk: a relaxed structure of DyEr2Cd4 (PBE).

Summary:
The energy above the lowest structure with this stoichiometry comes out at 156 kJ/mol of formula units.

Lattice parameters (Å, degrees): 5.3527 5.9008 7.0542 114.72 90.00 90.00
Fractional coordinates of all 7 atoms:
Er1 0.5000 0.8558 0.7116
Er2 0.5000 0.1442 0.2884
Cd1 0.0000 0.2589 0.5178
Cd2 0.0000 0.7411 0.4822
Cd3 0.5000 0.6139 0.2279
Cd4 0.5000 0.3861 0.7721
Dy1 0.0000 0.5000 0.0000


Entry from Alexandria via LeMat-Bulk: a relaxed structure of Dy5Er4Cd (PBE).

Lattice parameters (Å, degrees): 3.5330 3.5330 24.0658 90.00 90.00 90.00
Fractional coordinates of all 10 atoms:
Er1 0.0000 0.0000 0.8093
Er2 0.0000 0.0000 0.1907
Er3 0.0000 0.0000 0.3971
Er4 0.0000 0.0000 0.6029
Dy1 0.5000 0.5000 0.5000
Dy2 0.5000 0.5000 0.2938
Dy3 0.5000 0.5000 0.7062
Dy4 0.5000 0.5000 0.0876
Dy5 0.5000 0.5000 0.9124
Cd1 0.0000 0.0000 0.0000


Entry from Alexandria via LeMat-Bulk: a relaxed structure of DyEr4Cd (PBE).

Summary:
The energy above the lowest structure with this stoichiometry comes out at 40 kJ/mol of formula units.

Lattice parameters (Å, degrees): 5.9933 5.9933 11.6188 75.23 75.23 60.31
Fractional coordinates of all 12 atoms:
Er1 0.5843 0.7488 0.2496
Er2 0.2512 0.4157 0.2504
Er3 0.6750 0.1635 0.0005
Er4 0.1635 0.6750 0.5005
Er5 0.7488 0.5843 0.7496
Er6 0.8365 0.3250 0.4995
Er7 0.3250 0.8365 0.9995
Er8 0.4157 0.2512 0.7504
Cd1 0.9172 0.0828 0.2500
Cd2 0.0828 0.9172 0.7500
Dy1 0.5000 0.0000 0.5000
Dy2 0.0000 0.5000 0.0000


Entry from Alexandria via LeMat-Bulk: a relaxed structure of Dy4Er5Cd (PBE).

Summary:
The energy above the lowest structure with this stoichiometry comes out at 152 kJ/mol of formula units.

Lattice parameters (Å, degrees): 5.6638 7.9754 7.9754 82.76 69.20 69.20
Fractional coordinates of all 10 atoms:
Dy1 0.1415 0.3206 0.3206
Dy2 0.4621 0.6794 0.3206
Dy3 0.4621 0.3206 0.6794
Dy4 0.7827 0.6794 0.6794
Er1 0.7700 0.0000 0.3694
Er2 0.1394 0.0000 0.6306
Er3 0.1394 0.6306 0.0000
Er4 0.7701 0.3694 0.0000
Er5 0.6621 0.0000 0.0000
Cd1 0.1808 0.0000 0.0000


Entry from Alexandria via LeMat-Bulk: a relaxed structure of Dy3Er2Cd4 (PBE).

Lattice parameters (Å, degrees): 6.6463 8.0142 9.9715 90.00 109.47 90.00
Fractional coordinates of all 18 atoms:
Cd1 0.1588 0.9798 0.3175
Cd2 0.1734 0.7500 0.8468
Cd3 0.8412 0.0202 0.6825
Cd4 0.6588 0.5202 0.3175
Cd5 0.3266 0.2500 0.1532
Cd6 0.3412 0.4798 0.6825
Cd7 0.8266 0.2500 0.1532
Cd8 0.6734 0.7500 0.8468
Dy1 0.0045 0.7500 0.5091
Dy2 0.9955 0.2500 0.4909
Dy3 0.0000 0.0000 0.0000
Dy4 0.5000 0.5000 0.0000
Dy5 0.4955 0.2500 0.4909
Dy6 0.5045 0.7500 0.5091
Er1 0.9088 0.3989 0.8177
Er2 0.5912 0.8989 0.1823
Er3 0.0912 0.6011 0.1823
Er4 0.4088 0.1011 0.8177


Entry from Alexandria via LeMat-Bulk: a relaxed structure of Dy2Er3Cd3 (PBE).

Lattice parameters (Å, degrees): 3.7148 5.2937 11.4953 103.31 99.30 90.00
Fractional coordinates of all 8 atoms:
Cd1 0.0000 0.5000 0.0000
Cd2 0.8838 0.8838 0.7675
Cd3 0.1162 0.1162 0.2325
Dy1 0.2666 0.7666 0.5332
Dy2 0.7334 0.2334 0.4668
Er1 0.6229 0.6229 0.2459
Er2 0.5000 0.0000 0.0000
Er3 0.3771 0.3771 0.7541


Entry from Alexandria via LeMat-Bulk: a relaxed structure of Dy3Er4Cd2 (PBE).

Lattice parameters (Å, degrees): 4.8396 7.7262 7.6645 107.64 108.40 90.00
Fractional coordinates of all 9 atoms:
Er1 0.5566 0.3344 0.1131
Er2 0.2212 0.3222 0.4425
Er3 0.7788 0.6778 0.5575
Er4 0.4434 0.6656 0.8869
Dy1 0.1138 0.6710 0.2277
Dy2 0.0000 0.0000 0.0000
Dy3 0.8862 0.3290 0.7723
Cd1 0.6661 0.9990 0.3323
Cd2 0.3339 0.0010 0.6677


Entry from Alexandria via LeMat-Bulk: a relaxed structure of Dy6Er8Cd (PBE).

Lattice parameters (Å, degrees): 6.6649 9.1212 9.1212 120.00 90.00 90.00
Fractional coordinates of all 15 atoms:
Dy1 0.3966 0.3192 0.9191
Dy2 0.6034 0.6808 0.0809
Dy3 0.3966 0.0809 0.4001
Dy4 0.6034 0.9191 0.5999
Dy5 0.3966 0.5999 0.6808
Dy6 0.6034 0.4001 0.3192
Er1 0.8902 0.6863 0.6695
Er2 0.8180 0.3333 0.6667
Er3 0.1098 0.3137 0.3305
Er4 0.8902 0.3305 0.0168
Er5 0.1820 0.6667 0.3333
Er6 0.1098 0.6695 0.9832
Er7 0.1098 0.0168 0.6863
Er8 0.8902 0.9832 0.3137
Cd1 0.5000 0.0000 0.0000


Entry from Alexandria via LeMat-Bulk: a relaxed structure of Dy3ErCd (PBE).

Summary:
The energy above the lowest structure with this stoichiometry comes out at 0 kJ/mol of formula units.

Lattice parameters (Å, degrees): 3.6355 6.6805 12.5962 85.99 90.01 74.21
Fractional coordinates of all 10 atoms:
Cd1 0.5612 0.8773 0.6277
Cd2 0.4388 0.1227 0.3723
Er1 0.7683 0.4637 0.2450
Er2 0.2317 0.5363 0.7550
Dy1 0.6344 0.7312 0.9784
Dy2 0.9645 0.0714 0.8103
Dy3 0.3656 0.2688 0.0216
Dy4 0.0355 0.9286 0.1897
Dy5 0.1464 0.7076 0.4447
Dy6 0.8536 0.2924 0.5553


Entry from Alexandria via LeMat-Bulk: a relaxed structure of Dy8ErCd6 (PBE).

Lattice parameters (Å, degrees): 8.9491 8.9491 8.2016 56.94 56.94 60.00
Site moments in Bohr magnetons follow the coordinates.
Fractional coordinates of all 15 atoms:
Cd1 0.0515 0.7197 0.8450  0.00
Cd2 0.3838 0.0515 0.8450  0.00
Cd3 0.7197 0.3838 0.8450  0.00
Cd4 0.2803 0.6162 0.1550  0.00
Cd5 0.9485 0.2803 0.1550  0.00
Cd6 0.6162 0.9485 0.1550  0.00
Dy1 0.4500 0.7824 0.6518  0.07
Dy2 0.5500 0.2176 0.3482  0.07
Dy3 0.1157 0.4500 0.6518  0.07
Dy4 0.8843 0.5500 0.3482  0.07
Dy5 0.2176 0.8843 0.3482  0.07
Dy6 0.6662 0.6662 0.0013  0.04
Dy7 0.3338 0.3338 0.9987  0.04
Dy8 0.7824 0.1157 0.6518  0.07
Er1 0.0000 0.0000 0.0000  0.03


Entry from Alexandria via LeMat-Bulk: a relaxed structure of Dy2Er3Cd6 (PBE).

Lattice parameters (Å, degrees): 4.9542 4.9542 14.1997 100.05 100.05 90.00
Site moments in Bohr magnetons follow the coordinates.
Fractional coordinates of all 11 atoms:
Er1 0.8640 0.8640 0.7280  0.06
Er2 0.1360 0.1360 0.2720  0.06
Er3 0.0000 0.0000 0.0000  -0.01
Cd1 0.0648 0.5648 0.1295  0.00
Cd2 0.7492 0.7492 0.4985  0.00
Cd3 0.9352 0.4352 0.8705  0.00
Cd4 0.5648 0.0648 0.1295  0.00
Cd5 0.2508 0.2508 0.5015  0.00
Cd6 0.4352 0.9352 0.8705  0.00
Dy1 0.3657 0.3656 0.7313  0.07
Dy2 0.6343 0.6344 0.2687  0.07


Entry from Alexandria via LeMat-Bulk: a relaxed structure of Dy3ErCd (PBE).

Summary:
The energy above the lowest structure with this stoichiometry comes out at 83 kJ/mol of formula units.

Lattice parameters (Å, degrees): 3.6877 9.1127 9.5701 90.00 90.00 101.64
Fractional coordinates of all 10 atoms:
Er1 0.2992 0.0981 0.2500
Er2 0.7008 0.9019 0.7500
Cd1 0.6657 0.8306 0.2500
Cd2 0.3343 0.1694 0.7500
Dy1 0.8967 0.2940 0.5056
Dy2 0.1033 0.7060 0.4944
Dy3 0.1033 0.7060 0.0056
Dy4 0.4865 0.4745 0.2500
Dy5 0.5135 0.5255 0.7500
Dy6 0.8967 0.2940 0.9944


Entry from Alexandria via LeMat-Bulk: a relaxed structure of Dy2ErCd6 (PBE).

Lattice parameters (Å, degrees): 3.4175 8.6026 8.6026 120.00 90.00 90.00
Fractional coordinates of all 9 atoms:
Cd1 0.5000 0.3327 0.0000
Cd2 0.5000 0.0000 0.6673
Cd3 0.5000 0.6673 0.0000
Cd4 0.5000 0.0000 0.3327
Cd5 0.5000 0.3327 0.3327
Cd6 0.5000 0.6673 0.6673
Dy1 0.0000 0.3333 0.6667
Dy2 0.0000 0.6667 0.3333
Er1 0.0000 0.0000 0.0000


Entry from Alexandria via LeMat-Bulk: a relaxed structure of Dy2ErCd4 (PBE).

Summary:
The energy above the lowest structure with this stoichiometry comes out at 307 kJ/mol of formula units.

Lattice parameters (Å, degrees): 5.5720 5.5720 8.7266 108.62 108.62 90.00
Fractional coordinates of all 7 atoms:
Cd1 0.8049 0.8049 0.6098
Cd2 0.1951 0.1951 0.3902
Cd3 0.0000 0.5000 0.0000
Cd4 0.5000 0.0000 0.0000
Dy1 0.3970 0.3970 0.7940
Dy2 0.6030 0.6030 0.2060
Er1 0.0000 0.0000 0.0000


Entry from Alexandria via LeMat-Bulk: a relaxed structure of Dy3Er12Cd (PBE).

Lattice parameters (Å, degrees): 4.9201 4.9201 19.8533 90.00 90.00 90.00
Fractional coordinates of all 16 atoms:
Er1 0.5000 0.5000 0.5000
Er2 0.5000 0.5000 0.7556
Er3 0.0000 0.5000 0.3734
Er4 0.0000 0.5000 0.8785
Er5 0.5000 0.0000 0.3734
Er6 0.5000 0.0000 0.8785
Er7 0.0000 0.5000 0.6266
Er8 0.5000 0.0000 0.6266
Er9 0.5000 0.5000 0.2444
Er10 0.5000 0.0000 0.1215
Er11 0.0000 0.5000 0.1215
Er12 0.5000 0.5000 0.0000
Dy1 0.0000 0.0000 0.2481
Dy2 0.0000 0.0000 0.7519
Dy3 0.0000 0.0000 0.5000
Cd1 0.0000 0.0000 0.0000


Entry from Alexandria via LeMat-Bulk: a relaxed structure of Dy8Er5Cd (PBE).

Lattice parameters (Å, degrees): 8.3487 8.3487 8.3487 110.47 107.48 110.47
Fractional coordinates of all 14 atoms:
Dy1 0.5605 0.9037 0.8355
Dy2 0.0823 0.7398 0.4767
Dy3 0.1645 0.7250 0.0682
Dy4 0.9318 0.0963 0.6568
Dy5 0.6575 0.3944 0.9177
Dy6 0.3432 0.2750 0.4395
Dy7 0.7369 0.2602 0.3425
Dy8 0.5233 0.6056 0.2631
Er1 0.8173 0.6929 0.7140
Er2 0.5000 0.0000 0.5000
Er3 0.0211 0.3071 0.1244
Er4 0.8756 0.8967 0.1827
Er5 0.2860 0.1033 0.9789
Cd1 0.2500 0.5000 0.7500


Entry from Alexandria via LeMat-Bulk: a relaxed structure of Dy4Er5Cd (PBE).

Summary:
The energy above the lowest structure with this stoichiometry comes out at 0 kJ/mol of formula units.

Lattice parameters (Å, degrees): 4.8760 3.5070 17.4104 90.00 90.00 90.00
Fractional coordinates of all 10 atoms:
Dy1 0.0000 0.0000 0.3981
Dy2 0.0000 0.0000 0.6019
Dy3 0.0000 0.0000 0.1962
Dy4 0.0000 0.0000 0.8038
Er1 0.5000 0.5000 0.0928
Er2 0.5000 0.5000 0.2939
Er3 0.5000 0.5000 0.7061
Er4 0.5000 0.5000 0.5000
Er5 0.5000 0.5000 0.9072
Cd1 0.0000 0.0000 0.0000


| no. | energy of formation (eV per formula unit) |
| --- | --- |
| 1 | 2.87 |
| 2 | -0.30 |
| 3 | 0.29 |
| 4 | 0.57 |
| 5 | -0.44 |
| 6 | -0.12 |
| 7 | 1.43 |
| 8 | -1.14 |
| 9 | -1.86 |
| 10 | -0.67 |
| 11 | 3.46 |
| 12 | -0.55 |
| 13 | -1.02 |
| 14 | 1.25 |
| 15 | 0.32 |
| 16 | -2.79 |
| 17 | 2.10 |
| 18 | -0.05 |
| 19 | 2.90 |
| 20 | -0.15 |